First-principles (GGA-PBE) data for a relaxed KCo2CuBr8 crystal, as listed in Alexandria.

Summary:
The volume comes out at 30.5 Å³ per atom. As for the uncorrected formation energy: -499 meV per atom. The raw total energy comes out at -3.232 eV/atom.

a = 6.603 Å, b = 6.603 Å, c = 10.420 Å
α = 71.53°, β = 71.53°, γ = 60.00°
Sites, in units of the cell vectors:
Cu 0.000 0.000 0.000
Br 0.054 0.376 0.840
Br 0.376 0.730 0.840
Br 0.270 0.946 0.160
Br 0.825 0.825 0.526
Br 0.624 0.270 0.160
Br 0.175 0.175 0.474
Br 0.946 0.624 0.160
Br 0.730 0.054 0.840
Co 0.256 0.256 0.233
Co 0.744 0.744 0.767
K 0.500 0.500 0.500

=====

First-principles (GGA-PBE) data for a relaxed K2CoCuBr6 crystal, as listed in Alexandria.

Summary:
The volume comes out at 27.2 Å³ per atom. As for the uncorrected formation energy: -831 meV per atom. The raw total energy comes out at -3.174 eV/atom.

a = 6.870 Å, b = 6.870 Å, c = 11.535 Å
α = 90.00°, β = 89.94°, γ = 90.00°
Sites, in units of the cell vectors:
Br 0.809 0.810 0.501
Br 0.191 0.190 0.499
Br 0.001 0.501 0.788
Br 0.310 0.691 0.500
Br 0.190 0.191 0.000
Br 0.691 0.310 0.999
Br 0.999 0.499 0.212
Br 0.690 0.309 0.500
Br 0.499 0.001 0.712
Br 0.501 0.999 0.288
Br 0.309 0.690 0.001
Br 0.810 0.809 0.000
K 0.999 0.002 0.750
K 0.001 0.998 0.250
K 0.499 0.498 0.250
K 0.501 0.502 0.750
Cu 0.500 0.000 0.000
Cu 0.000 0.500 0.500
Co 0.000 0.500 0.000
Co 0.500 0.000 0.500

=====

First-principles (GGA-PBE) data for a relaxed La6Co2CuBr3 crystal, as listed in Alexandria.

Summary:
The volume comes out at 29.4 Å³ per atom. As for the uncorrected formation energy: -801 meV per atom. The raw total energy comes out at -5.208 eV/atom.

a = 7.240 Å, b = 7.240 Å, c = 8.191 Å
α = 97.75°, β = 97.75°, γ = 121.34°
Sites, in units of the cell vectors:
Co 0.332 0.668 0.000
Co 0.668 0.332 0.000
Br 0.166 0.834 0.500
Br 0.834 0.166 0.500
Br 0.500 0.500 0.500
La 0.574 0.924 0.805
La 0.924 0.574 0.805
La 0.715 0.715 0.194
La 0.426 0.076 0.195
La 0.076 0.426 0.195
La 0.285 0.285 0.806
Cu 0.000 0.000 0.000

=====

- What is the formula in the first record?
  KCo2CuBr8